Entry w
An optimized crystal structure of Tb2Er3In. Source: the Alexandria database, functional PBE.

The space group is Cmmm (No. 65) and the conventional cell measures 4.835, 14.990 and 4.857 Å, with angles of 90.00, 90.00 and 90.00 degrees. The inequivalent atoms are Tb at (0.000, 0.162, 0.000), Er at (0.000, 0.000, 0.500), Er at (0.000, 0.332, 0.500) and In at (0.000, 0.500, 0.000).

Entry x
An optimized crystal structure of Tb2Er3In. Source: the Alexandria database, functional PBE.

The space group is Imm2 (No. 44) and the conventional cell measures 3.357, 9.883 and 11.513 Å, with angles of 90.00, 90.00 and 90.00 degrees. The inequivalent atoms are Tb at (0.000, 0.172, 0.000), Er at (0.000, 0.000, 0.280), Er at (0.000, 0.339, 0.249) and In at (0.000, 0.500, 0.015).

Most stable structure - entry w; separation to the second - 0.439 eV/atom.